Compound: NdPuTe2
Source: Alexandria
Functional: PBE
Structure: relaxed

Cell: 7.717 7.717 7.717 Å, 90.00 90.00 90.00°
Space group Fm-3m (No. 225)
Asymmetric unit:
Nd 0.000 0.000 0.000 (multiplicity 4)
Pu 0.000 0.000 0.500 (multiplicity 4)
Te 0.250 0.250 0.250 (multiplicity 8)

Computed properties:
Uncorrected formation energy: -1.13 eV per atom
E above lowest polymorph: 147 meV per atom
Total moment: 27.39 Bohr magnetons per cell
Crystal system: cubic